1.
Material: NdU2Te4
Method: DFT, GGA-PBE
State: optimized geometry

The space group is Cmcm (No. 63) and the conventional cell measures 4.243, 14.298 and 15.317 Å, with angles of 90.00, 90.00 and 90.00 degrees. Symmetry generates all atoms from Nd at (0.000, 0.111, 0.250), U at (0.000, 0.359, 0.063), Te at (0.000, 0.000, 0.000), Te at (0.000, 0.282, 0.628) and Te at (0.000, 0.445, 0.250).

For the calculated total energy, the calculation gives -181.88 eV per cell. Its energy relative to the elements, uncorrected is -0.794 eV per atom. Its total magnetization is 0.925 μB/atom.

***

2.
Material: LiGdAg4
Method: DFT, GGA-PBE
State: optimized geometry

The space group is F-43m (No. 216) and the conventional cell measures 7.919, 7.919 and 7.919 Å, with angles of 90.00, 90.00 and 90.00 degrees. Symmetry generates all atoms from Li at (0.000, 0.000, 0.000), Gd at (0.250, 0.250, 0.750) and Ag at (0.126, 0.126, 0.374).

For the calculated total energy, the calculation gives -113.35 eV per cell. Its total magnetization is 1.298 μB/atom.

***

3.
Material: CrW4
Method: DFT, GGA-PBE
State: optimized geometry

The space group is Pm-3m (No. 221) and the conventional cell measures 4.445, 4.445 and 4.445 Å, with angles of 90.00, 90.00 and 90.00 degrees. Symmetry generates all atoms from Cr at (0.000, 0.000, 0.000), W at (0.000, 0.000, 0.500) and W at (0.500, 0.500, 0.500).

For the calculated total energy, the calculation gives -53.49 eV per cell. Its total magnetization is 0.000 μB/atom. For the energy relative to the lowest polymorph listed for this composition, the calculation gives 1542 meV per atom.

***

4.
Material: SrHf3Sn
Method: DFT, GGA-PBE
State: optimized geometry

The space group is Pm-3m (No. 221) and the conventional cell measures 5.413, 5.413 and 5.413 Å, with angles of 90.00, 90.00 and 90.00 degrees. Symmetry generates all atoms from Sr at (0.000, 0.000, 0.000), Hf at (0.000, 0.500, 0.500) and Sn at (0.500, 0.500, 0.500).

For the calculated total energy, the calculation gives -31.12 eV per cell. Its total magnetization is 0.000 μB/atom. For the energy relative to the lowest polymorph listed for this composition, the calculation gives 0 meV per atom.

***

5.
Material: Fe2SeBr
Method: DFT, GGA-PBE
State: optimized geometry

The space group is I-42d (No. 122) and the conventional cell measures 5.327, 5.327 and 10.583 Å, with angles of 90.00, 90.00 and 90.00 degrees. Symmetry generates all atoms from Fe at (0.236, 0.250, 0.125), Se at (0.000, 0.000, 0.000) and Br at (0.000, 0.000, 0.500).

For the calculated total energy, the calculation gives -81.90 eV per cell. Its energy relative to the elements, uncorrected is 0.402 eV per atom. Its total magnetization is 0.000 μB/atom. For the energy relative to the lowest polymorph listed for this composition, the calculation gives 553 meV per atom.

***

6.
Material: TeSe
Method: DFT, GGA-PBE
State: optimized geometry

The space group is P-6m2 (No. 187) and the conventional cell measures 3.8115, 3.8115 and 4.1783 Å, with angles of 90.00, 90.00 and 120.00 degrees. Symmetry generates all atoms from Te at (0.0000, 0.0000, 0.0000) and Se at (0.3333, 0.6667, 0.5000).

For the calculated total energy, the calculation gives -6.19 eV per cell. Its energy relative to the elements, uncorrected is 0.216 eV per atom. Its total magnetization is 0.000 μB/atom.

***

7.
Material: BaEr4In5
Method: DFT, GGA-PBE
State: optimized geometry

The space group is P4/mmm (No. 123) and the conventional cell measures 3.820, 3.820 and 19.302 Å, with angles of 90.00, 90.00 and 90.00 degrees. Symmetry generates all atoms from Ba at (0.000, 0.000, 0.000), Er at (0.000, 0.000, 0.220), Er at (0.000, 0.000, 0.407), In at (0.500, 0.500, 0.129), In at (0.500, 0.500, 0.314) and In at (0.500, 0.500, 0.500).

For the calculated total energy, the calculation gives -38.13 eV per cell. Its total magnetization is 0.000 μB/atom.

***

8.
Material: SmHoS2
Method: DFT, GGA-PBE
State: optimized geometry

The space group is R3m (No. 160, hexagonal axes) and the conventional cell measures 3.8520, 3.8520 and 20.6231 Å, with angles of 90.00, 90.00 and 120.00 degrees. Symmetry generates all atoms from Sm at (0.0000, 0.0000, 0.0000), Ho at (0.0000, 0.0000, 0.8218), S at (0.0000, 0.0000, 0.4127) and S at (0.0000, 0.0000, 0.5755).

For the calculated total energy, the calculation gives -76.05 eV per cell. Its energy relative to the elements, uncorrected is -1.949 eV per atom. Its total magnetization is 0.000 μB/atom. For the energy relative to the lowest polymorph listed for this composition, the calculation gives 55 meV per atom.

***

9.
Material: Tl12Hg3Te
Method: DFT, GGA-PBE
State: optimized geometry

The space group is P4/mmm (No. 123) and the conventional cell measures 5.684, 5.684 and 15.285 Å, with angles of 90.00, 90.00 and 90.00 degrees. Symmetry generates all atoms from Tl at (0.000, 0.000, 0.000), Tl at (0.000, 0.000, 0.246), Tl at (0.000, 0.000, 0.500), Tl at (0.000, 0.500, 0.122), Tl at (0.000, 0.500, 0.369), Hg at (0.500, 0.500, 0.000), Hg at (0.500, 0.500, 0.238) and Te at (0.500, 0.500, 0.500).

For the calculated total energy, the calculation gives -32.97 eV per cell. Its energy relative to the elements, uncorrected is -0.033 eV per atom. Its total magnetization is 0.000 μB/atom.